(1)
## Sr3Cd9Au2 (PBE)

Data for a relaxed Sr3Cd9Au2 crystal.

extended XYZ file:
```
14
Lattice="4.689 0.000 1.259 1.736 8.560 2.894 0.044 0.344 9.195" Properties=species:S:1:pos:R:3 pbc="T T T"
Sr 0.000 0.000 0.000
Sr 3.767 2.820 4.689
Sr 2.701 6.084 8.660
Cd 0.890 4.452 6.045
Cd 4.864 8.501 9.964
Cd 1.604 0.402 3.385
Cd 4.393 6.216 11.716
Cd 2.075 2.687 1.632
Cd 5.593 7.361 7.249
Cd 0.875 1.542 6.099
Cd 4.847 3.737 10.028
Cd 1.622 5.166 3.320
Au 2.867 2.670 8.040
Au 3.601 6.233 5.308
```

Results
- DOS at the Fermi energy (states/eV/f.u.) = 7.07
- space-group type = Immm, No. 71
- ΔH_f (0 K) (meV/atom) = -335


(2)
## BeFeSi2 (PBE)

Data for a relaxed BeFeSi2 crystal.

extended XYZ file:
```
4
Lattice="4.304 -0.001 0.001 3.471 2.544 0.001 0.414 0.135 3.993" Properties=species:S:1:pos:R:3 pbc="T T T"
Be 4.158 1.360 1.998
Si 7.699 2.518 0.131
Si 6.146 2.010 2.905
Fe 2.054 0.672 0.958
```

Results
- DOS at the Fermi energy (states/eV/f.u.) = 2.11
- space-group type = Cm, No. 8
- formation energy from raw total energies (kJ/mol of atoms) = -7.3


(3)
## Th2CuHgRh (PBE)

Data for a relaxed Th2CuHgRh crystal.

extended XYZ file:
```
10
Lattice="3.977 0.000 0.000 0.000 7.955 0.145 0.000 -3.220 7.566" Properties=species:S:1:pos:R:3 pbc="T T T"
Th 2.983 4.871 4.927
Th 2.983 2.398 7.640
Th 0.994 -0.135 2.783
Th 0.994 2.338 0.071
Cu 0.994 2.390 4.824
Cu 2.983 2.345 2.887
Hg 0.994 4.442 2.463
Hg 2.983 0.294 5.248
Rh 0.994 4.203 6.810
Rh 2.983 0.533 0.901
```

Results
- DOS at the Fermi energy (states/eV/f.u.) = 3.85
- space-group type = P2_1/m, No. 11
- ΔH_f (0 K) (meV/atom) = -409


(4)
## Rb2LaHf (PBE)

Data for a relaxed Rb2LaHf crystal.

extended XYZ file:
```
8
Lattice="4.741 0.000 0.000 0.000 4.741 0.000 2.370 2.370 14.557" Properties=species:S:1:pos:R:3 pbc="T T T"
Hf 0.000 0.000 0.000
Hf 4.741 2.370 7.278
Rb 3.568 1.185 3.639
Rb 1.173 3.555 3.639
Rb 3.555 3.543 10.918
Rb 5.926 5.938 10.918
La 2.370 2.370 0.000
La 2.370 4.741 7.278
```

Results
- DOS at the Fermi energy (states/eV/f.u.) = 3.31
- space-group type = I-42d, No. 122
- E above lowest polymorph (kcal/mol of atoms) = 0.00
- ΔH_f (0 K) (meV/atom) = 1045


So what do the calculations give for total energy? Going down the list: -1.7522, -5.8345, -5.7273, -3.1589 eV per atom.
So what do the calculations give for spin magnetization? Going down the list: 0.00, 0.00, 0.00, 0.00 Bohr magnetons per cell.